Entry 1:
DFT (GGA-PBEsol) results for Cd2BiCBr after structural relaxation.

Unit cell a=4.4179 b=4.4179 c=5.6740 alpha=90.00 beta=90.00 gamma=90.00
Space group P4/mmm (No. 123)
One atom of each set of equivalent atoms:
Cd  0.0000  0.5000  0.0000
Bi  0.0000  0.0000  0.5000
C  0.5000  0.5000  0.0000
Br  0.5000  0.5000  0.5000

Results
energy relative to the elements, uncorrected	0.79	eV per atom
DFT total energy	-2.854	eV per atom
total moment	0.00	μB/cell

***

Entry 2:
DFT (GGA-PBEsol) results for Mn3NiO8 after structural relaxation.

Unit cell a=7.9665 b=7.9665 c=7.9665 alpha=90.00 beta=90.00 gamma=90.00
Space group P4_332 (No. 212)
One atom of each set of equivalent atoms:
Mn  0.1231  0.3750  0.3731
Ni  0.1250  0.1250  0.1250
O  0.1096  0.6117  0.3865
O  0.1111  0.3889  0.6111

Results
energy relative to the elements, uncorrected	-1.35	eV per atom
DFT total energy	-7.800	eV per atom
E above lowest polymorph	0.0038	eV/atom
total moment	36.00	μB/cell